(1)
The following is a PBE calculation of a relaxed Cu3PbSe crystal, from Alexandria via LeMat-Bulk.

a b c (Å): 4.6887 4.6887 4.6887
angles (deg): 90.00 90.00 90.00
Last column: nearest neighbours and their distance in Å.
Positions (direct):
Cu 0.0000 0.0000 0.5000  2 Se 2.34
Cu 0.0000 0.5000 0.0000  2 Se 2.34
Cu 0.5000 0.0000 0.0000  2 Se 2.34
Pb 0.5000 0.5000 0.5000  12 Cu 3.32
Se 0.0000 0.0000 0.0000  6 Cu 2.34

## Properties
Offset from the most stable computed form   0.000 eV/atom
Formation energy without anion corrections   0.403 eV/atom
Size of the total moment   0.00 μB per atom
ρ   7.7 g/cm3

=====

(2)
The following is a PBE calculation of a relaxed CuPbSe crystal, from Alexandria via LeMat-Bulk.

a b c (Å): 3.9890 3.9890 4.9676
angles (deg): 90.00 90.00 120.00
Last column: nearest neighbours and their distance in Å.
Positions (direct):
Cu 0.0000 0.0000 0.0000  3 Se 2.45
Pb 0.6667 0.3333 0.3507  3 Cu 2.89
Se 0.3333 0.6667 0.8330  3 Cu 2.45

## Properties
Offset from the most stable computed form   0.000 eV/atom
Formation energy without anion corrections   -0.170 eV/atom
Size of the total moment   0.00 μB per atom
ρ   8.5 g/cm3

=====

(3)
The following is a PBE calculation of a relaxed CuPb2Se crystal, from Alexandria via LeMat-Bulk.

a b c (Å): 6.3961 6.3961 6.3961
angles (deg): 141.17 141.17 56.08
Last column: nearest neighbours and their distance in Å.
Positions (direct):
Cu 0.0000 0.0000 0.0000  4 Pb 3.01
Pb 0.2500 0.7500 0.5000  4 Se 3.01
Pb 0.5000 0.5000 0.0000  4 Cu 3.01
Se 0.7500 0.2500 0.5000  4 Pb 3.01

## Properties
Formation energy without anion corrections   0.139 eV/atom
Size of the total moment   0.00 μB per atom
ρ   9.1 g/cm3

=====

(4)
The following is a PBE calculation of a relaxed Cu3PbSe crystal, from Alexandria via LeMat-Bulk.

a b c (Å): 4.9490 4.9490 4.9490
angles (deg): 90.00 90.00 90.00
Last column: nearest neighbours and their distance in Å.
Positions (direct):
Cu 0.0000 0.0000 0.5000  2 Pb 2.47
Cu 0.0000 0.5000 0.0000  2 Pb 2.47
Cu 0.5000 0.0000 0.0000  2 Pb 2.47
Pb 0.0000 0.0000 0.0000  6 Cu 2.47
Se 0.5000 0.5000 0.5000  12 Cu 3.50

## Properties
Offset from the most stable computed form   0.624 eV/atom
Formation energy without anion corrections   1.027 eV/atom
Size of the total moment   0.00 μB per atom
ρ   6.5 g/cm3

=====

(5)
The following is a PBE calculation of a relaxed CuPb4Se crystal, from Alexandria via LeMat-Bulk.

a b c (Å): 6.3810 6.3810 6.3810
angles (deg): 60.00 60.00 60.00
Last column: nearest neighbours and their distance in Å.
Positions (direct):
Cu 0.0000 0.0000 0.0000  12 Pb 3.74, 4 Se 3.91
Pb 0.1235 0.6255 0.6255  6 Pb 3.18-3.20
Pb 0.6255 0.1235 0.6255  6 Pb 3.18-3.20
Pb 0.6255 0.6255 0.1235  6 Pb 3.18-3.20
Pb 0.6255 0.6255 0.6255  6 Pb 3.18-3.20
Se 0.2500 0.2500 0.2500  12 Pb 3.74, 4 Cu 3.91

## Properties
Formation energy without anion corrections   0.510 eV/atom
Size of the total moment   0.00 μB per atom
ρ   8.8 g/cm3

=====

(6)
The following is a PBE calculation of a relaxed CuPb2Se crystal, from Alexandria via LeMat-Bulk.

a b c (Å): 5.4493 5.4493 5.4493
angles (deg): 132.44 119.23 80.61
Last column: nearest neighbours and their distance in Å.
Positions (direct):
Cu 0.0000 0.0000 0.0000  4 Pb 2.88
Pb 0.2234 0.7234 0.5000  2 Cu 2.88, 2 Se 3.18
Pb 0.7766 0.2766 0.5000  2 Cu 2.88, 2 Se 3.18
Se 0.5000 0.5000 0.0000  8 Pb 3.18-3.32, 4 Cu 3.52

## Properties
Formation energy without anion corrections   0.154 eV/atom
Size of the total moment   0.00 μB per atom
ρ   9.2 g/cm3

=====

(7)
The following is a PBE calculation of a relaxed CuSiPbSe2 crystal, from Alexandria via LeMat-Bulk.

a b c (Å): 4.7872 4.7872 5.5892
angles (deg): 90.00 90.00 90.00
Last column: nearest neighbours and their distance in Å.
Positions (direct):
Cu 0.0000 0.0000 0.0000  4 Pb 3.39, 8 Se 3.68
Si 0.5000 0.5000 0.5000  4 Se 2.39
Pb 0.5000 0.5000 0.0000  2 Si 2.79
Se 0.0000 0.5000 0.5000  2 Si 2.39
Se 0.5000 0.0000 0.5000  2 Si 2.39

## Properties
Formation energy without anion corrections   0.590 eV/atom
Size of the total moment   0.00 μB per atom
ρ   5.9 g/cm3

=====

(8)
The following is a PBE calculation of a relaxed SmCuPbSe3 crystal, from Alexandria via LeMat-Bulk.

a b c (Å): 8.7030 4.1130 9.0918
angles (deg): 90.00 103.19 90.00
Last column: nearest neighbours and their distance in Å.
Positions (direct):
Sm 0.1742 0.2500 0.1717  6 Se 2.88-2.99
Sm 0.8258 0.7500 0.8283  6 Se 2.88-2.99
Cu 0.4212 0.7500 0.4212  4 Se 2.52-2.55, 2 Cu 2.70
Cu 0.5788 0.2500 0.5788  4 Se 2.52-2.55, 2 Cu 2.70
Pb 0.3158 0.7500 0.7656  7 Se 3.15-3.30, 1 Cu 3.46
Pb 0.6842 0.2500 0.2344  7 Se 3.15-3.30, 1 Cu 3.46
Se 0.0675 0.2500 0.8351  3 Sm 2.93-2.99, 2 Pb 3.15
Se 0.2822 0.2500 0.4955  3 Cu 2.52-2.55
Se 0.4016 0.7500 0.1389  1 Cu 2.53
Se 0.5984 0.2500 0.8611  1 Cu 2.53
Se 0.7178 0.7500 0.5045  3 Cu 2.52-2.55
Se 0.9325 0.7500 0.1649  3 Sm 2.93-2.99, 2 Pb 3.15

## Properties
Formation energy without anion corrections   -0.996 eV/atom
Size of the total moment   0.00 μB per atom
ρ   6.9 g/cm3

=====

(9)
The following is a PBE calculation of a relaxed CuSnPbSe3 crystal, from Alexandria via LeMat-Bulk.

a b c (Å): 8.7500 4.0748 8.9461
angles (deg): 90.00 103.14 90.00
Last column: nearest neighbours and their distance in Å.
Positions (direct):
Cu 0.0759 0.2500 0.0563  4 Se 2.46-2.65, 2 Cu 2.51
Cu 0.9241 0.7500 0.9437  4 Se 2.46-2.65, 2 Cu 2.51
Sn 0.3390 0.7500 0.3466  6 Se 2.89-2.91
Sn 0.6610 0.2500 0.6534  6 Se 2.89-2.91
Pb 0.1747 0.2500 0.7112  7 Se 3.08-3.36, 1 Cu 3.39
Pb 0.8253 0.7500 0.2888  7 Se 3.08-3.36, 1 Cu 3.39
Se 0.1055 0.2500 0.3578  1 Cu 2.65, 2 Sn 2.90
Se 0.2179 0.7500 0.0160  3 Cu 2.46-2.50
Se 0.4328 0.7500 0.6778  3 Sn 2.89-2.90, 2 Pb 3.11
Se 0.5672 0.2500 0.3222  3 Sn 2.89-2.90, 2 Pb 3.11
Se 0.7821 0.2500 0.9840  3 Cu 2.46-2.50
Se 0.8945 0.7500 0.6422  1 Cu 2.65, 2 Sn 2.90

## Properties
Formation energy without anion corrections   -0.352 eV/atom
Size of the total moment   0.00 μB per atom
ρ   6.7 g/cm3

=====

(10)
The following is a PBE calculation of a relaxed TaCuPb2Se crystal, from Alexandria via LeMat-Bulk.

a b c (Å): 5.7728 5.7728 4.2483
angles (deg): 90.00 90.00 90.00
Last column: nearest neighbours and their distance in Å.
Positions (direct):
Ta 0.0000 0.0000 0.0000  8 Pb 3.58
Cu 0.5000 0.5000 0.0000  2 Se 2.12
Pb 0.0000 0.5000 0.5000  2 Se 2.89
Pb 0.5000 0.0000 0.5000  2 Se 2.89
Se 0.5000 0.5000 0.5000  2 Cu 2.12

## Properties
Formation energy without anion corrections   1.065 eV/atom
Size of the total moment   0.47 μB per atom
ρ   8.7 g/cm3

=====

(11)
The following is a PBE calculation of a relaxed TaCuPb2Se5 crystal, from Alexandria via LeMat-Bulk.

a b c (Å): 9.2551 9.2551 13.0160
angles (deg): 90.00 90.00 155.97
Last column: nearest neighbours and their distance in Å.
Positions (direct):
Ta 0.1930 0.8070 0.5000  6 Se 2.49-2.78
Ta 0.8070 0.1930 0.0000  6 Se 2.49-2.78
Cu 0.4185 0.5815 0.9256  4 Se 2.39-2.43
Cu 0.5815 0.4185 0.4256  4 Se 2.39-2.43
Pb 0.1086 0.8914 0.7948  2 Se 2.87
Pb 0.1162 0.8838 0.1444  5 Se 2.92-3.21
Pb 0.8838 0.1162 0.6444  5 Se 2.92-3.21
Pb 0.8914 0.1086 0.2948  2 Se 2.87
Se 0.0574 0.9426 0.5342  2 Cu 2.43, 1 Ta 2.49
Se 0.2844 0.7156 0.1393  2 Ta 2.68
Se 0.2947 0.7053 0.8625  1 Cu 2.39, 2 Ta 2.64
Se 0.3462 0.6538 0.4845  1 Ta 2.78, 2 Pb 2.92
Se 0.4925 0.5075 0.7712  1 Cu 2.42
Se 0.5075 0.4925 0.2712  1 Cu 2.42
Se 0.6538 0.3462 0.9845  1 Ta 2.78, 2 Pb 2.92
Se 0.7053 0.2947 0.3625  1 Cu 2.39, 2 Ta 2.64
Se 0.7156 0.2844 0.6393  2 Ta 2.68
Se 0.9426 0.0574 0.0342  2 Cu 2.43, 1 Ta 2.49

## Properties
Formation energy without anion corrections   -0.511 eV/atom
Size of the total moment   0.00 μB per atom
ρ   7.7 g/cm3

=====

(12)
The following is a PBE calculation of a relaxed TbCuPbSe3 crystal, from Alexandria via LeMat-Bulk.

a b c (Å): 8.6151 4.0787 9.0677
angles (deg): 90.00 103.88 90.00
Last column: nearest neighbours and their distance in Å.
Positions (direct):
Tb 0.1749 0.2500 0.1687  6 Se 2.84-2.93
Tb 0.8251 0.7500 0.8313  6 Se 2.84-2.93
Cu 0.4214 0.7500 0.4195  4 Se 2.52-2.55, 2 Cu 2.68
Cu 0.5786 0.2500 0.5805  4 Se 2.52-2.55, 2 Cu 2.68
Pb 0.3128 0.7500 0.7614  7 Se 3.15-3.31, 1 Cu 3.45
Pb 0.6872 0.2500 0.2386  7 Se 3.15-3.31, 1 Cu 3.45
Se 0.0638 0.2500 0.8366  3 Tb 2.89-2.93, 2 Pb 3.15
Se 0.2775 0.2500 0.4904  3 Cu 2.53-2.55
Se 0.3997 0.7500 0.1374  1 Cu 2.52
Se 0.6003 0.2500 0.8626  1 Cu 2.52
Se 0.7225 0.7500 0.5096  3 Cu 2.53-2.55
Se 0.9362 0.7500 0.1634  3 Tb 2.89-2.93, 2 Pb 3.15

## Properties
Formation energy without anion corrections   -1.004 eV/atom
Size of the total moment   0.00 μB per atom
ρ   7.2 g/cm3